(1)
## Rb8Ga5H15 (SCAN)

Data for a crystal of Rb8Ga5H15 relaxed with PBEsol.

**Final energy**: -614.25 eV for the cell shown
**Total magnetic moment**: 0.33 μB/cell

Unit cell a=11.524 b=11.524 c=11.524 alpha=60.00 beta=60.00 gamma=60.00
Fractional coordinates of all 56 atoms:
Rb 0.000 0.000 0.000
Rb 0.000 0.000 0.500
Rb 0.000 0.500 0.000
Rb 0.202 0.202 0.548
Rb 0.202 0.548 0.202
Rb 0.202 0.548 0.548
Rb 0.452 0.452 0.798
Rb 0.452 0.798 0.452
Rb 0.452 0.798 0.798
Rb 0.500 0.000 0.000
Rb 0.548 0.202 0.202
Rb 0.548 0.202 0.548
Rb 0.548 0.548 0.202
Rb 0.798 0.452 0.452
Rb 0.798 0.452 0.798
Rb 0.798 0.798 0.452
Ga 0.125 0.125 0.125
Ga 0.134 0.789 0.789
Ga 0.211 0.211 0.211
Ga 0.211 0.211 0.866
Ga 0.211 0.866 0.211
Ga 0.789 0.134 0.789
Ga 0.789 0.789 0.134
Ga 0.789 0.789 0.789
Ga 0.866 0.211 0.211
Ga 0.875 0.875 0.875
H 0.000 0.500 0.500
H 0.095 0.280 0.787
H 0.095 0.337 0.280
H 0.095 0.787 0.337
H 0.213 0.663 0.905
H 0.213 0.720 0.663
H 0.213 0.905 0.720
H 0.280 0.095 0.337
H 0.280 0.337 0.787
H 0.280 0.787 0.095
H 0.337 0.095 0.787
H 0.337 0.280 0.095
H 0.337 0.787 0.280
H 0.375 0.375 0.375
H 0.500 0.000 0.500
H 0.500 0.500 0.000
H 0.500 0.500 0.500
H 0.625 0.625 0.625
H 0.663 0.213 0.720
H 0.663 0.720 0.905
H 0.663 0.905 0.213
H 0.720 0.213 0.905
H 0.720 0.663 0.213
H 0.720 0.905 0.663
H 0.787 0.095 0.280
H 0.787 0.280 0.337
H 0.787 0.337 0.095
H 0.905 0.213 0.663
H 0.905 0.663 0.720
H 0.905 0.720 0.213


(2)
## CdInW2 (SCAN)

Data for a crystal of CdInW2 relaxed with PBEsol.

**Offset from the most stable computed form**: 0.000 eV/atom
**Formation energy from the elements**: 0.674 eV per atom
**Total magnetic moment**: 0.00 μB/cell

Unit cell a=9.638 b=2.783 c=5.254 alpha=90.00 beta=95.80 gamma=90.00
Fractional coordinates of all 8 atoms:
Cd 0.000 0.000 0.000
Cd 0.500 0.500 0.000
In 0.246 0.000 0.767
In 0.746 0.500 0.767
W 0.000 0.500 0.486
W 0.248 0.500 0.278
W 0.500 0.000 0.486
W 0.748 0.000 0.278


(3)
## Li2In (SCAN)

Data for a crystal of Li2In relaxed with PBEsol.

**Formation energy from the elements**: -0.183 eV per atom
**Total magnetic moment**: 0.41 μB/cell

Unit cell a=5.350 b=5.350 c=5.350 alpha=60.00 beta=60.00 gamma=60.00
Fractional coordinates of all 6 atoms:
Li 0.000 0.000 0.000
Li 0.000 0.000 0.500
Li 0.000 0.500 0.000
Li 0.500 0.000 0.000
In 0.375 0.375 0.375
In 0.625 0.625 0.625


(4)
## CoTeAs2 (SCAN)

Data for a crystal of CoTeAs2 relaxed with PBEsol.

**E_form (uncorrected)**: 0.023 eV/atom
**Total magnetic moment**: 0.02 μB/cell

Unit cell a=6.802 b=3.026 c=8.174 alpha=90.00 beta=104.14 gamma=90.00
Fractional coordinates of all 8 atoms:
Co 0.000 0.000 0.000
Co 0.500 0.500 0.000
Te 0.000 0.500 0.500
Te 0.500 0.000 0.500
As 0.155 0.500 0.852
As 0.345 0.000 0.148
As 0.655 0.000 0.852
As 0.845 0.500 0.148


(5)
## Cd2HgBi2 (SCAN)

Data for a crystal of Cd2HgBi2 relaxed with PBEsol.

**Formation energy from the elements**: 0.103 eV per atom
**Total magnetic moment**: 0.00 μB/cell

Unit cell a=4.158 b=4.158 c=15.860 alpha=90.00 beta=90.00 gamma=90.00
Fractional coordinates of all 10 atoms:
Cd 0.000 0.500 0.250
Cd 0.000 0.500 0.750
Cd 0.500 0.000 0.250
Cd 0.500 0.000 0.750
Hg 0.000 0.000 0.000
Hg 0.500 0.500 0.500
Bi 0.000 0.000 0.391
Bi 0.000 0.000 0.609
Bi 0.500 0.500 0.109
Bi 0.500 0.500 0.891


(6)
## Mg (SCAN)

Data for a crystal of Mg relaxed with PBEsol.

**Offset from the most stable computed form**: 0.564 eV/atom
**Formation energy from the elements**: 0.564 eV per atom
**Total magnetic moment**: 0.00 μB/cell

Unit cell a=5.065 b=5.065 c=5.362 alpha=90.00 beta=90.00 gamma=120.00
Fractional coordinates of all 4 atoms:
Mg 0.000 0.000 0.250
Mg 0.000 0.000 0.750
Mg 0.333 0.667 0.250
Mg 0.667 0.333 0.750


(7)
## LaTa2BeTl (SCAN)

Data for a crystal of LaTa2BeTl relaxed with PBEsol.

**Formation energy from the elements**: 2.266 eV per atom
**Total magnetic moment**: 0.00 μB/cell

Unit cell a=5.020 b=5.020 c=4.585 alpha=90.00 beta=90.00 gamma=90.00
Fractional coordinates of all 5 atoms:
La 0.000 0.000 0.000
Ta 0.000 0.500 0.000
Ta 0.500 0.000 0.000
Be 0.000 0.000 0.500
Tl 0.500 0.500 0.500


(8)
## ScIr (SCAN)

Data for a crystal of ScIr relaxed with PBEsol.

**Formation energy from the elements**: -1.247 eV per atom
**Total magnetic moment**: 0.00 μB/cell

Unit cell a=3.187 b=3.187 c=3.187 alpha=90.00 beta=90.00 gamma=90.00
Fractional coordinates of all 2 atoms:
Sc 0.000 0.000 0.000
Ir 0.500 0.500 0.500